Entry from the Alexandria database: a relaxed TaNb2Hg2S6 crystal (GGA-PBE).

Crystal system   monoclinic
Formation energy without anion corrections   -819 meV per atom
Symmetry   No. 12

a = 5.842 Å, b = 5.842 Å, c = 9.479 Å
α = 95.98°, β = 95.98°, γ = 120.00°
Atoms (fractional coordinates):
Ta  0.000  0.000  0.000
Nb  0.333  0.667  0.000
Nb  0.667  0.333  0.000
Hg  0.167  0.833  0.500
Hg  0.833  0.167  0.500
S  0.056  0.387  0.167
S  0.273  0.273  0.833
S  0.387  0.056  0.167
S  0.613  0.944  0.833
S  0.727  0.727  0.167
S  0.944  0.613  0.833